Material: BaLi4In2Sn
Method: DFT, GGA-PBE
State: relaxed

```
8
Lattice="4.8110 0.0000 0.0000 2.4055 4.1664 0.0000 2.4055 1.3888 9.8815" Properties=species:S:1:pos:R:3 pbc="T T T"
Sn 4.8110 2.7776 4.9407
In 2.4055 1.3888 2.6921
Li 2.4055 1.3888 5.8816
Li 4.8110 2.7776 7.6067
Li 4.8110 2.7776 2.2748
In 7.2165 4.1664 7.1893
Ba 0.0000 0.0000 0.0000
Li 7.2165 4.1664 3.9999
```

## Properties
- Electronic total energy: -0.0974 hartree per atom
- DOS(E_F): 0.60 states/eV/atom
- Energy of formation: -207 kJ/mol of formula units